[1]
! SrMnCl (PBE, relaxed); values from VASP
&SYSTEM
  ibrav = 0, nat = 3, ntyp = 3
/
ATOMIC_SPECIES
Sr 87.62 Sr.upf
Mn 54.94 Mn.upf
Cl 35.45 Cl.upf
CELL_PARAMETERS angstrom
7.345 0.011 -0.012
6.383 3.633 -0.013
0.961 0.257 3.612
ATOMIC_POSITIONS crystal
Sr 0.648 0.648 0.352
Mn 0.308 0.308 0.692
Cl 0.044 0.044 0.956
! - DOS at the Fermi energy (states/eV/f.u.) = 1.4
! - SG = I4mm (107)
! - E (eV/atom) = -4.60

=====

[2]
! ReSeBr (PBE, relaxed); values from VASP
&SYSTEM
  ibrav = 0, nat = 3, ntyp = 3
/
ATOMIC_SPECIES
Br 79.90 Br.upf
Se 78.96 Se.upf
Re 186.21 Re.upf
CELL_PARAMETERS angstrom
3.287 0.000 0.000
-1.644 2.847 0.000
0.000 0.000 7.426
ATOMIC_POSITIONS crystal
Br 0.000 0.000 0.085
Se 0.333 0.667 0.565
Re 0.667 0.333 0.350
! - DOS at the Fermi energy (states/eV/f.u.) = 1.3
! - SG = P3m1 (156)
! - E (eV/atom) = -5.75